1.
VASP calculation (GGA-PBE) on an optimized crystal structure of GdZnSb2.

Computed properties:
- Final energy: -25.5 eV for the cell shown
- Magnetization: 6.89 μB/f.u.
- Uncorrected formation energy: -0.476 eV/atom
- E above lowest polymorph: 0 meV/atom

Lattice parameters (Å, degrees): 4.273 4.786 4.786 90.00 90.00 90.00
Last column: magnetic moment on the atom in μB.
Positions (direct):
Sb  0.000  0.000  0.500  -0.02
Sb  0.000  0.500  0.000  -0.02
Zn  0.500  0.000  0.000  -0.01
Gd  0.500  0.500  0.500  6.89

***

2.
VASP calculation (GGA-PBE) on an optimized crystal structure of NiSbI2.

Computed properties:
- Final energy: -12.2 eV for the cell shown
- Magnetization: 1.11 μB/f.u.
- Uncorrected formation energy: 0.199 eV/atom
- E above lowest polymorph: 0 meV/atom

Lattice parameters (Å, degrees): 3.873 3.873 9.460 78.19 78.19 60.00
Last column: magnetic moment on the atom in μB.
Positions (direct):
I  0.111  0.111  0.666  0.11
I  0.889  0.889  0.334  0.11
Sb  0.000  0.000  0.000  -0.02
Ni  0.500  0.500  0.500  0.84

***

3.
VASP calculation (GGA-PBE) on an optimized crystal structure of Cd15Pd.

Computed properties:
- Final energy: -19.8 eV for the cell shown
- Magnetization: 0.00 μB/f.u.
- Calculated formation energy: -58 meV per atom

Lattice parameters (Å, degrees): 6.148 6.148 10.449 90.00 90.00 120.00
Positions (direct):
Cd  0.000  0.000  0.500
Cd  0.005  0.503  0.000
Cd  0.995  0.498  0.500
Cd  0.497  0.995  0.000
Cd  0.502  0.005  0.500
Cd  0.497  0.503  0.000
Cd  0.502  0.498  0.500
Cd  0.836  0.164  0.238
Cd  0.836  0.164  0.762
Cd  0.836  0.672  0.238
Cd  0.836  0.672  0.762
Cd  0.328  0.164  0.238
Cd  0.328  0.164  0.762
Cd  0.333  0.667  0.257
Cd  0.333  0.667  0.743
Pd  0.000  0.000  0.000

***

4.
VASP calculation (GGA-PBE) on an optimized crystal structure of LiY2PdO6.

Computed properties:
- Final energy: -142.7 eV for the cell shown
- Magnetization: 0.06 μB/f.u.
- Uncorrected formation energy: -2.158 eV/atom

Lattice parameters (Å, degrees): 5.329 5.765 7.551 90.00 89.17 90.00
Positions (direct):
Li  0.500  0.000  0.000
Li  0.000  0.500  0.500
Y  0.023  0.916  0.252
Y  0.523  0.584  0.752
Y  0.977  0.084  0.748
Y  0.477  0.416  0.248
Pd  0.500  0.000  0.500
Pd  0.000  0.500  0.000
O  0.310  0.684  0.058
O  0.810  0.816  0.558
O  0.690  0.316  0.942
O  0.190  0.184  0.442
O  0.325  0.702  0.438
O  0.825  0.798  0.938
O  0.675  0.298  0.562
O  0.175  0.202  0.062
O  0.878  0.542  0.249
O  0.378  0.958  0.749
O  0.122  0.458  0.751
O  0.622  0.042  0.251

***

5.
VASP calculation (GGA-PBE) on an optimized crystal structure of Sn5Sb3Se12.

Computed properties:
- Final energy: -309.4 eV for the cell shown
- Magnetization: 0.00 μB/f.u.
- Uncorrected formation energy: -0.157 eV/atom

Lattice parameters (Å, degrees): 14.601 14.601 14.601 109.47 109.47 109.47
Positions (direct):
Sb  0.750  0.375  0.125
Sb  0.875  0.750  0.125
Sb  0.375  0.750  0.625
Sb  0.250  0.125  0.375
Sb  0.875  0.125  0.250
Sb  0.375  0.625  0.250
Sb  0.625  0.375  0.750
Sb  0.125  0.875  0.750
Sb  0.750  0.875  0.625
Sb  0.625  0.250  0.375
Sb  0.125  0.250  0.875
Sb  0.250  0.625  0.875
Sn  0.125  0.375  0.250
Sn  0.000  0.500  0.000
Sn  0.000  0.000  0.000
Sn  0.375  0.250  0.125
Sn  0.500  0.000  0.500
Sn  0.500  0.500  0.000
Sn  0.125  0.750  0.375
Sn  0.750  0.125  0.875
Sn  0.750  0.625  0.375
Sn  0.375  0.125  0.750
Sn  0.625  0.875  0.250
Sn  0.500  0.500  0.500
Sn  0.500  0.000  0.000
Sn  0.000  0.000  0.500
Sn  0.250  0.375  0.625
Sn  0.250  0.875  0.125
Sn  0.000  0.500  0.500
Sn  0.875  0.250  0.625
Sn  0.625  0.750  0.875
Sn  0.875  0.625  0.750
Se  0.723  0.133  0.047
Se  0.324  0.547  0.414
Se  0.953  0.367  0.277
Se  0.547  0.223  0.133
Se  0.591  0.723  0.676
Se  0.953  0.586  0.176
Se  0.324  0.777  0.409
Se  0.086  0.909  0.133
Se  0.586  0.953  0.676
Se  0.723  0.591  0.176
Se  0.777  0.453  0.367
Se  0.824  0.914  0.047
Se  0.133  0.723  0.547
Se  0.367  0.414  0.091
Se  0.091  0.914  0.367
Se  0.409  0.133  0.586
Se  0.091  0.176  0.223
Se  0.453  0.676  0.086
Se  0.824  0.909  0.277
Se  0.133  0.409  0.086
Se  0.367  0.953  0.777
Se  0.586  0.633  0.409
Se  0.914  0.824  0.547
Se  0.777  0.324  0.909
Se  0.414  0.367  0.591
Se  0.086  0.176  0.453
Se  0.223  0.676  0.091
Se  0.176  0.091  0.723
Se  0.633  0.047  0.223
Se  0.867  0.591  0.914
Se  0.547  0.324  0.914
Se  0.591  0.867  0.414
Se  0.909  0.824  0.777
Se  0.909  0.086  0.633
Se  0.867  0.277  0.453
Se  0.176  0.086  0.953
Se  0.633  0.586  0.909
Se  0.414  0.047  0.324
Se  0.277  0.409  0.824
Se  0.223  0.547  0.633
Se  0.914  0.091  0.867
Se  0.676  0.223  0.591
Se  0.453  0.777  0.867
Se  0.047  0.414  0.824
Se  0.409  0.277  0.324
Se  0.047  0.633  0.723
Se  0.676  0.453  0.586
Se  0.277  0.867  0.953

***

6.
VASP calculation (GGA-PBE) on an optimized crystal structure of PaPbI.

Computed properties:
- Final energy: -29.7 eV for the cell shown
- Magnetization: 0.00 μB/f.u.
- Uncorrected formation energy: -0.029 eV/atom

Lattice parameters (Å, degrees): 6.070 5.836 10.407 114.87 106.66 35.36
Positions (direct):
Pa  0.911  0.687  0.597
Pa  0.095  0.395  0.797
Pb  0.469  0.839  0.294
Pb  0.310  0.347  0.140
I  0.582  0.457  0.563
I  0.771  0.227  0.909